No. 1
# AcSmMgAg (PBE-GGA, optimized geometry)
# Uncorrected energy in eV per cell: -54.8
# Magnetic moment in μB/f.u.: 0.00
# Energy above the most stable polymorph in this dataset in eV/atom: 0.063
# Volume in A^3/atom: 30.12
# Density of states at the Fermi level in states/eV per atom: 1.087
data_AcSmMgAg
_cell_length_a 7.8397
_cell_length_b 7.8397
_cell_length_c 7.8397
_cell_angle_alpha 90.00
_cell_angle_beta 90.00
_cell_angle_gamma 90.00
_symmetry_space_group_name_H-M 'F -4 3 m'
_symmetry_Int_Tables_number 216
_symmetry_space_group_name_Hall 'F -4 2 3'
loop_
_atom_site_label
_atom_site_type_symbol
_atom_site_fract_x
_atom_site_fract_y
_atom_site_fract_z
Ac1 Ac 0.0000 0.0000 0.0000
Sm1 Sm 0.0000 0.0000 0.5000
Mg1 Mg 0.2500 0.2500 0.2500
Ag1 Ag 0.2500 0.2500 0.7500

---

No. 2
# AcSmMgAg (PBE-GGA, optimized geometry)
# Uncorrected energy in eV per cell: -14.0
# Magnetic moment in μB/f.u.: 0.00
# Energy above the most stable polymorph in this dataset in eV/atom: 0.000
# Volume in A^3/atom: 29.70
# Density of states at the Fermi level in states/eV per atom: 0.743
data_AcSmMgAg
_cell_length_a 3.9308
_cell_length_b 3.9308
_cell_length_c 7.6898
_cell_angle_alpha 90.00
_cell_angle_beta 90.00
_cell_angle_gamma 90.00
_symmetry_space_group_name_H-M 'P 4 m m'
_symmetry_Int_Tables_number 99
loop_
_symmetry_equiv_pos_as_xyz
'x,y,z'
'-y,x,z'
'-x,-y,z'
'y,-x,z'
'-x,y,z'
'y,x,z'
'x,-y,z'
'-y,-x,z'
loop_
_atom_site_label
_atom_site_type_symbol
_atom_site_fract_x
_atom_site_fract_y
_atom_site_fract_z
Ac1 Ac 0.0000 0.0000 0.0000
Sm1 Sm 0.0000 0.0000 0.4828
Mg1 Mg 0.5000 0.5000 0.7177
Ag1 Ag 0.5000 0.5000 0.2730

---

No. 3
# AcMgAgSn (PBE-GGA, optimized geometry)
# Uncorrected energy in eV per cell: -55.9
# Magnetic moment in μB/f.u.: 0.00
# Volume in A^3/atom: 27.51
# Density of states at the Fermi level in states/eV per atom: 0.384
data_AcMgAgSn
_cell_length_a 7.6072
_cell_length_b 7.6072
_cell_length_c 7.6072
_cell_angle_alpha 90.00
_cell_angle_beta 90.00
_cell_angle_gamma 90.00
_symmetry_space_group_name_H-M 'F -4 3 m'
_symmetry_Int_Tables_number 216
_symmetry_space_group_name_Hall 'F -4 2 3'
loop_
_atom_site_label
_atom_site_type_symbol
_atom_site_fract_x
_atom_site_fract_y
_atom_site_fract_z
Ac1 Ac 0.0000 0.0000 0.0000
Mg1 Mg 0.0000 0.0000 0.5000
Ag1 Ag 0.2500 0.2500 0.7500
Sn1 Sn 0.2500 0.2500 0.2500

---

No. 4
# Ac2Mg3AgSn4 (PBE-GGA, optimized geometry)
# Uncorrected energy in eV per cell: -36.2
# Magnetic moment in μB/f.u.: 0.00
# Volume in A^3/atom: 27.42
# Density of states at the Fermi level in states/eV per atom: 0.211
data_Ac2Mg3AgSn4
_cell_length_a 4.8518
_cell_length_b 4.8518
_cell_length_c 11.6483
_cell_angle_alpha 90.00
_cell_angle_beta 90.00
_cell_angle_gamma 90.00
_symmetry_space_group_name_H-M 'P -4 m 2'
_symmetry_Int_Tables_number 115
loop_
_symmetry_equiv_pos_as_xyz
'x,y,z'
'y,-x,-z'
'-x,-y,z'
'-y,x,-z'
'-x,y,z'
'-y,-x,-z'
'x,-y,z'
'y,x,-z'
loop_
_atom_site_label
_atom_site_type_symbol
_atom_site_fract_x
_atom_site_fract_y
_atom_site_fract_z
Ac1 Ac 0.0000 0.5000 0.2451
Mg1 Mg 0.0000 0.5000 0.8709
Mg2 Mg 0.5000 0.5000 0.5000
Ag1 Ag 0.0000 0.0000 0.5000
Sn1 Sn 0.0000 0.0000 0.0000
Sn2 Sn 0.0000 0.5000 0.6376
Sn3 Sn 0.5000 0.5000 0.0000

---

No. 5
# AcMg2Ag4Sn (PBE-GGA, optimized geometry)
# Uncorrected energy in eV per cell: -72.5
# Magnetic moment in μB/f.u.: 0.00
# Volume in A^3/atom: 23.48
# Density of states at the Fermi level in states/eV per atom: 0.497
data_AcMg2Ag4Sn
_cell_length_a 4.6841
_cell_length_b 4.6841
_cell_length_c 29.6539
_cell_angle_alpha 90.00
_cell_angle_beta 90.00
_cell_angle_gamma 120.00
_symmetry_space_group_name_H-M 'R -3 m'
_symmetry_Int_Tables_number 166
_symmetry_space_group_name_Hall '-R 3 2"'
loop_
_atom_site_label
_atom_site_type_symbol
_atom_site_fract_x
_atom_site_fract_y
_atom_site_fract_z
Ac1 Ac 0.0000 0.0000 0.0000
Mg1 Mg 0.0000 0.0000 0.2403
Ag1 Ag 0.0000 0.0000 0.1238
Ag2 Ag 0.0000 0.0000 0.4009
Sn1 Sn 0.0000 0.0000 0.5000

---

No. 6
# AcMgAg5Sn2 (PBE-GGA, optimized geometry)
# Uncorrected energy in eV per cell: -27.6
# Magnetic moment in μB/f.u.: 0.00
# Volume in A^3/atom: 25.53
# Density of states at the Fermi level in states/eV per atom: 0.480
data_AcMgAg5Sn2
_cell_length_a 5.1653
_cell_length_b 5.1653
_cell_length_c 8.6112
_cell_angle_alpha 90.00
_cell_angle_beta 90.00
_cell_angle_gamma 90.00
_symmetry_space_group_name_H-M 'P 4/m m m'
_symmetry_Int_Tables_number 123
_symmetry_space_group_name_Hall '-P 4 2'
loop_
_atom_site_label
_atom_site_type_symbol
_atom_site_fract_x
_atom_site_fract_y
_atom_site_fract_z
Ac1 Ac 0.0000 0.0000 0.0000
Mg1 Mg 0.0000 0.0000 0.5000
Ag1 Ag 0.0000 0.5000 0.2309
Ag2 Ag 0.5000 0.5000 0.0000
Sn1 Sn 0.5000 0.5000 0.3327

---

No. 7
# AcMg2Ag2Sn2 (PBE-GGA, optimized geometry)
# Uncorrected energy in eV per cell: -71.1
# Magnetic moment in μB/f.u.: 0.00
# Volume in A^3/atom: 24.50
# Density of states at the Fermi level in states/eV per atom: 0.290
data_AcMg2Ag2Sn2
_cell_length_a 4.7300
_cell_length_b 4.7300
_cell_length_c 26.5507
_cell_angle_alpha 90.00
_cell_angle_beta 90.00
_cell_angle_gamma 120.00
_symmetry_space_group_name_H-M 'R -3 m'
_symmetry_Int_Tables_number 166
_symmetry_space_group_name_Hall '-R 3 2"'
loop_
_atom_site_label
_atom_site_type_symbol
_atom_site_fract_x
_atom_site_fract_y
_atom_site_fract_z
Ac1 Ac 0.0000 0.0000 0.0000
Mg1 Mg 0.0000 0.0000 0.1393
Ag1 Ag 0.0000 0.0000 0.4428
Sn1 Sn 0.0000 0.0000 0.2566

---

No. 8
# Ac2MgAg4Sn3 (PBE-GGA, optimized geometry)
# Uncorrected energy in eV per cell: -37.5
# Magnetic moment in μB/f.u.: 0.00
# Volume in A^3/atom: 25.68
# Density of states at the Fermi level in states/eV per atom: 0.508
data_Ac2MgAg4Sn3
_cell_length_a 4.6727
_cell_length_b 4.6727
_cell_length_c 11.7611
_cell_angle_alpha 90.00
_cell_angle_beta 90.00
_cell_angle_gamma 90.00
_symmetry_space_group_name_H-M 'P -4 m 2'
_symmetry_Int_Tables_number 115
loop_
_symmetry_equiv_pos_as_xyz
'x,y,z'
'y,-x,-z'
'-x,-y,z'
'-y,x,-z'
'-x,y,z'
'-y,-x,-z'
'x,-y,z'
'y,x,-z'
loop_
_atom_site_label
_atom_site_type_symbol
_atom_site_fract_x
_atom_site_fract_y
_atom_site_fract_z
Ac1 Ac 0.0000 0.5000 0.2386
Mg1 Mg 0.0000 0.0000 0.5000
Ag1 Ag 0.0000 0.0000 0.0000
Ag2 Ag 0.0000 0.5000 0.6332
Ag3 Ag 0.5000 0.5000 0.0000
Sn1 Sn 0.0000 0.5000 0.8646
Sn2 Sn 0.5000 0.5000 0.5000

---

No. 9
# Ac3MgAg2Sn6 (PBE-GGA, optimized geometry)
# Uncorrected energy in eV per cell: -47.3
# Magnetic moment in μB/f.u.: 0.00
# Volume in A^3/atom: 30.39
# Density of states at the Fermi level in states/eV per atom: 0.485
data_Ac3MgAg2Sn6
_cell_length_a 6.7551
_cell_length_b 6.7551
_cell_length_c 9.2290
_cell_angle_alpha 90.00
_cell_angle_beta 90.00
_cell_angle_gamma 120.00
_symmetry_space_group_name_H-M 'P -3 m 1'
_symmetry_Int_Tables_number 164
_symmetry_space_group_name_Hall '-P 3 2"'
loop_
_atom_site_label
_atom_site_type_symbol
_atom_site_fract_x
_atom_site_fract_y
_atom_site_fract_z
Ac1 Ac 0.0000 0.0000 0.0000
Ac2 Ac 0.3333 0.6667 0.6174
Mg1 Mg 0.0000 0.0000 0.5000
Ag1 Ag 0.3333 0.6667 0.0072
Sn1 Sn 0.1853 0.3706 0.2780

---

No. 10
# AcMgAgSn2 (PBE-GGA, optimized geometry)
# Uncorrected energy in eV per cell: -37.6
# Magnetic moment in μB/f.u.: 0.00
# Volume in A^3/atom: 27.04
# Density of states at the Fermi level in states/eV per atom: 0.546
data_AcMgAgSn2
_cell_length_a 4.6498
_cell_length_b 4.6498
_cell_length_c 12.5080
_cell_angle_alpha 90.00
_cell_angle_beta 90.00
_cell_angle_gamma 90.00
_symmetry_space_group_name_H-M 'I -4 m 2'
_symmetry_Int_Tables_number 119
_symmetry_space_group_name_Hall 'I -4 -2'
loop_
_atom_site_label
_atom_site_type_symbol
_atom_site_fract_x
_atom_site_fract_y
_atom_site_fract_z
Ac1 Ac 0.0000 0.0000 0.0000
Mg1 Mg 0.0000 0.5000 0.2500
Ag1 Ag 0.0000 0.5000 0.7500
Sn1 Sn 0.0000 0.0000 0.3843

---

No. 11
# AcTbMgAg (PBE-GGA, optimized geometry)
# Uncorrected energy in eV per cell: -54.3
# Magnetic moment in μB/f.u.: 0.00
# Energy above the most stable polymorph in this dataset in eV/atom: 0.068
# Volume in A^3/atom: 29.52
# Density of states at the Fermi level in states/eV per atom: 1.027
data_AcTbMgAg
_cell_length_a 7.7879
_cell_length_b 7.7879
_cell_length_c 7.7879
_cell_angle_alpha 90.00
_cell_angle_beta 90.00
_cell_angle_gamma 90.00
_symmetry_space_group_name_H-M 'F -4 3 m'
_symmetry_Int_Tables_number 216
_symmetry_space_group_name_Hall 'F -4 2 3'
loop_
_atom_site_label
_atom_site_type_symbol
_atom_site_fract_x
_atom_site_fract_y
_atom_site_fract_z
Ac1 Ac 0.0000 0.0000 0.0000
Tb1 Tb 0.0000 0.0000 0.5000
Mg1 Mg 0.2500 0.2500 0.2500
Ag1 Ag 0.2500 0.2500 0.7500

---

No. 12
# AcTbMg2Ag4 (PBE-GGA, optimized geometry)
# Uncorrected energy in eV per cell: -76.6
# Magnetic moment in μB/f.u.: 0.00
# Volume in A^3/atom: 24.08
# Density of states at the Fermi level in states/eV per atom: 0.651
data_AcTbMg2Ag4
_cell_length_a 4.8409
_cell_length_b 4.8409
_cell_length_c 28.4722
_cell_angle_alpha 90.00
_cell_angle_beta 90.00
_cell_angle_gamma 120.00
_symmetry_space_group_name_H-M 'R -3 m'
_symmetry_Int_Tables_number 166
_symmetry_space_group_name_Hall '-R 3 2"'
loop_
_atom_site_label
_atom_site_type_symbol
_atom_site_fract_x
_atom_site_fract_y
_atom_site_fract_z
Ac1 Ac 0.0000 0.0000 0.0000
Tb1 Tb 0.0000 0.0000 0.5000
Mg1 Mg 0.0000 0.0000 0.2401
Ag1 Ag 0.0000 0.0000 0.1172
Ag2 Ag 0.0000 0.0000 0.3968

---

No. 13
# AcTbMgAg (PBE-GGA, optimized geometry)
# Uncorrected energy in eV per cell: -13.9
# Magnetic moment in μB/f.u.: 0.00
# Energy above the most stable polymorph in this dataset in eV/atom: 0.000
# Volume in A^3/atom: 29.10
# Density of states at the Fermi level in states/eV per atom: 0.842
data_AcTbMgAg
_cell_length_a 3.8904
_cell_length_b 3.8904
_cell_length_c 7.6893
_cell_angle_alpha 90.00
_cell_angle_beta 90.00
_cell_angle_gamma 90.00
_symmetry_space_group_name_H-M 'P 4 m m'
_symmetry_Int_Tables_number 99
loop_
_symmetry_equiv_pos_as_xyz
'x,y,z'
'-y,x,z'
'-x,-y,z'
'y,-x,z'
'-x,y,z'
'y,x,z'
'x,-y,z'
'-y,-x,z'
loop_
_atom_site_label
_atom_site_type_symbol
_atom_site_fract_x
_atom_site_fract_y
_atom_site_fract_z
Ac1 Ac 0.0000 0.0000 0.0000
Tb1 Tb 0.0000 0.0000 0.4814
Mg1 Mg 0.5000 0.5000 0.7136
Ag1 Ag 0.5000 0.5000 0.2823